Record 1
DFT (PBE) results for a relaxed structure of AlInPO2.

The structure in extended XYZ format:
```
5
Lattice="3.678 0.000 0.000 0.000 3.678 0.000 0.000 0.000 5.354" Properties=species:S:1:pos:R:3 pbc="T T T"
Al 0.000 0.000 0.000
In 1.839 1.839 2.677
P 0.000 0.000 2.677
O 0.000 1.839 0.000
O 1.839 0.000 0.000
```

Computed properties:
- relative energy among the computed polymorphs (meV per atom) = 0.0
- space-group type = P4/mmm
- spin magnetization (μB per atom) = 0.000
- formation energy without anion corrections (meV/atom) = -979

Record 2
DFT (PBE) results for a relaxed structure of PaAlIn2O8.

The structure in extended XYZ format:
```
12
Lattice="4.887 0.000 0.000 0.000 6.559 0.000 -0.050 0.000 4.890" Properties=species:S:1:pos:R:3 pbc="T T T"
Pa 0.000 0.000 0.000
Al 0.000 3.280 0.000
In 2.418 1.710 2.445
In 2.418 4.849 2.445
O 0.890 1.821 0.905
O 0.890 4.738 0.905
O 1.326 3.280 3.532
O 1.459 0.000 3.403
O 3.378 0.000 1.487
O 3.510 3.280 1.358
O 3.947 1.821 3.985
O 3.947 4.738 3.985
```

Computed properties:
- space-group type = P2/m
- spin magnetization (μB per atom) = 0.167
- formation energy without anion corrections (meV/atom) = -2101

Record 3
DFT (PBE) results for a relaxed structure of Pm2AlInO6.

The structure in extended XYZ format:
```
20
Lattice="5.489 0.000 0.000 0.000 5.719 0.000 -5.454 0.000 7.901" Properties=species:S:1:pos:R:3 pbc="T T T"
Pm -0.083 0.330 1.981
Pm -2.811 2.530 5.931
Pm 2.845 3.189 1.970
Pm 0.118 5.390 5.920
Al -2.727 0.000 3.951
Al 0.000 2.860 0.000
In 2.745 0.000 0.000
In 0.017 2.860 3.951
O -4.447 1.236 7.439
O -1.720 1.624 3.488
O -3.897 3.928 7.493
O -1.170 4.651 3.542
O -2.147 0.210 5.797
O 0.580 2.649 1.846
O -0.545 3.070 6.055
O 2.182 5.509 2.104
O 1.205 1.068 4.359
O 3.932 1.792 0.408
O 1.754 4.096 4.413
O 4.482 4.483 0.463
```

Computed properties:
- space-group type = P2_1/c
- spin magnetization (μB per atom) = 0.000
- formation energy without anion corrections (meV/atom) = -2847

Record 4
DFT (PBE) results for a relaxed structure of RbAl2In2O7.

The structure in extended XYZ format:
```
12
Lattice="2.983 1.722 7.907 -2.983 1.722 7.907 0.000 -3.444 7.907" Properties=species:S:1:pos:R:3 pbc="T T T"
Rb 0.000 0.000 0.000
Al 0.000 0.000 10.165
Al 0.000 0.000 13.557
In 0.000 0.000 7.359
In 0.000 0.000 16.364
O -1.201 -0.952 9.236
O -0.225 -1.516 14.487
O -0.225 1.516 9.236
O 0.000 0.000 11.861
O -1.201 0.952 14.487
O 1.425 -0.564 9.236
O 1.425 0.564 14.487
```

Computed properties:
- space-group type = R32
- spin magnetization (μB per atom) = 0.093
- formation energy without anion corrections (meV/atom) = -1810

Record 5
DFT (PBE) results for a relaxed structure of Rb2AlInO.

The structure in extended XYZ format:
```
5
Lattice="7.413 0.000 0.000 0.000 7.413 0.000 0.000 0.000 3.533" Properties=species:S:1:pos:R:3 pbc="T T T"
Rb 0.000 3.706 0.000
Rb 3.706 0.000 0.000
Al 0.000 0.000 0.000
In 3.706 3.706 1.766
O 0.000 0.000 1.766
```

Computed properties:
- space-group type = P4/mmm
- spin magnetization (μB per atom) = 0.000
- formation energy without anion corrections (meV/atom) = -423

Record 6
DFT (PBE) results for a relaxed structure of AlIn2ReO.

The structure in extended XYZ format:
```
5
Lattice="5.096 0.000 0.000 0.000 5.096 0.000 0.000 0.000 3.797" Properties=species:S:1:pos:R:3 pbc="T T T"
Al 0.000 0.000 0.000
In 0.000 2.548 1.899
In 2.548 0.000 1.899
Re 2.548 2.548 0.000
O 2.548 2.548 1.899
```

Computed properties:
- space-group type = P4/mmm
- spin magnetization (μB per atom) = 0.000
- formation energy without anion corrections (meV/atom) = 257